1.
4
Lattice="4.634 0.000 0.000 0.000 5.338 0.009 0.000 2.647 6.230" Properties=species:S:1:pos:R:3 comment="K2InAu (GGA-PBE, optimized geometry)" e_form_kj_per_mol_fu=-78.4 sg="Pm (6)" n_ef_per_ev_cell=2.437 pbc="T T T"
K 2.317 2.327 2.084
K 0.000 7.651 5.799
In 2.317 4.984 4.585
Au 0.000 5.000 3.129

=====

2.
10
Lattice="5.995 0.000 0.000 0.000 5.995 0.000 2.997 2.997 5.125" Properties=species:S:1:pos:R:3 comment="Rb2PtSF6 (GGA-PBE, optimized geometry)" sg="I4/mmm (139)" n_ef_per_ev_cell=1.819 dft_energy_ev_per_cell=-39.6 pbc="T T T"
F 1.594 1.594 0.000
F 2.997 2.997 3.112
S 2.997 2.997 0.000
F 4.401 1.594 0.000
Rb 5.995 2.997 2.562
Pt 0.000 0.000 0.000
Rb 2.997 5.995 2.562
F 1.594 4.401 0.000
F 4.401 4.401 0.000
F 5.995 5.995 2.012